# GGA-PBE Ac2ErTe2Se2, relaxed
# - ΔE_f (raw) (eV per formula unit) = -10.978
# - final energy (eV per atom) = -5.287
data_Ac2ErTe2Se2
_cell_length_a 5.276
_cell_length_b 5.276
_cell_length_c 16.826
_cell_angle_alpha 90.00
_cell_angle_beta 90.00
_cell_angle_gamma 90.00
_symmetry_space_group_name_H-M 'I 4/m m m'
_symmetry_Int_Tables_number 139
_symmetry_space_group_name_Hall '-I 4 2'
loop_
_atom_site_label
_atom_site_type_symbol
_atom_site_fract_x
_atom_site_fract_y
_atom_site_fract_z
Ac1 Ac 0.000 0.000 0.125
Er1 Er 0.000 0.000 0.500
Te1 Te 0.000 0.000 0.320
Se1 Se 0.000 0.500 0.000

=====

# GGA-PBE AcErTeSe, relaxed
# - ΔE_f (raw) (eV per formula unit) = -6.146
# - final energy (eV per atom) = -5.361
data_AcErTeSe
_cell_length_a 4.1967
_cell_length_b 4.1967
_cell_length_c 23.6185
_cell_angle_alpha 90.00
_cell_angle_beta 90.00
_cell_angle_gamma 120.00
_symmetry_space_group_name_H-M 'R 3 m'
_symmetry_Int_Tables_number 160
_symmetry_space_group_name_Hall 'R 3 -2"'
loop_
_atom_site_label
_atom_site_type_symbol
_atom_site_fract_x
_atom_site_fract_y
_atom_site_fract_z
Ac1 Ac 0.0000 0.0000 0.0000
Er1 Er 0.0000 0.0000 0.1852
Te1 Te 0.0000 0.0000 0.4339
Se1 Se 0.0000 0.0000 0.5842